# 1
Computed, not measured: a relaxed structure of DyInCoS3 at the GGA-PBE level of DFT.

Properties
calculated density	5.3	Mg/m³
E_tot	-5.421	eV/atom
calculated volume	272.8	Å³/cell

abc: 7.1511 7.1511 10.3291
angles: 90.00 90.00 31.09
Sites, in units of the cell vectors:
Co (0.5238, 0.5238, 0.7500)
Co (0.4762, 0.4762, 0.2500)
Dy (0.0000, 0.0000, 0.5000)
Dy (0.0000, 0.0000, 0.0000)
S (0.3736, 0.3736, 0.0787)
S (0.6264, 0.6264, 0.9213)
S (0.3736, 0.3736, 0.4213)
S (0.6264, 0.6264, 0.5787)
S (0.0670, 0.0670, 0.2500)
S (0.9330, 0.9330, 0.7500)
In (0.7525, 0.7525, 0.2500)
In (0.2475, 0.2475, 0.7500)

***

# 2
Computed, not measured: a relaxed structure of TmTcHg at the GGA-PBE level of DFT.

Properties
DFT formation energy	0.8798	eV per atom
calculated density	10.5	Mg/m³
E_tot	-4.165	eV/atom
calculated volume	73.9	Å³/cell

abc: 4.7113 4.7113 4.7113
angles: 60.00 60.00 60.00
Sites, in units of the cell vectors:
Tm (0.0000, 0.0000, 0.0000)
Hg (0.2500, 0.2500, 0.2500)
Tc (0.7500, 0.7500, 0.7500)

***

# 3
Computed, not measured: a relaxed structure of SmDyB4 at the GGA-PBE level of DFT.

Properties
relative energy among the computed polymorphs	0.0	meV per atom
calculated density	7.9	Mg/m³
E_tot	-6.480	eV/atom
calculated volume	74.9	Å³/cell

abc: 3.3088 3.3088 7.8958
angles: 90.00 90.00 120.00
Sites, in units of the cell vectors:
B (0.6667, 0.3333, 0.2574)
B (0.6667, 0.3333, 0.7426)
B (0.3333, 0.6667, 0.7426)
B (0.3333, 0.6667, 0.2574)
Dy (0.0000, 0.0000, 0.5000)
Sm (0.0000, 0.0000, 0.0000)

***

# 4
Computed, not measured: a relaxed structure of PdBrCl at the GGA-PBE level of DFT.

Properties
calculated density	4.3	Mg/m³
E_tot	-3.255	eV/atom
calculated volume	342.0	Å³/cell

abc: 3.5068 7.3533 13.2623
angles: 90.00 90.00 90.00
Sites, in units of the cell vectors:
Cl (0.5000, 0.5647, 0.8933)
Cl (0.5000, 0.9481, 0.6142)
Cl (0.0000, 0.0519, 0.1142)
Cl (0.0000, 0.4353, 0.3933)
Br (0.5000, 0.9355, 0.3674)
Br (0.0000, 0.4520, 0.6400)
Br (0.5000, 0.5480, 0.1400)
Br (0.0000, 0.0645, 0.8674)
Pd (0.5000, 0.4448, 0.5117)
Pd (0.0000, 0.5552, 0.0117)
Pd (0.5000, 0.0575, 0.9957)
Pd (0.0000, 0.9425, 0.4957)

***

- Which value of E_tot does entry 1 give?
  -5.421 eV/atom

***

- What is the calculated density in the first record?
  5.3 Mg/m³

***

- The highest calculated volume belongs to which entry?
  PdBrCl